(A)
NiBiPd3: relaxed, PBE.

Lattice parameters (Å, degrees): 4.635 4.635 4.635 90.00 90.00 90.00
Space group Pm-3m (No. 221)
Unique sites:
Ni  0.000  0.000  0.000
Bi  0.500  0.500  0.500
Pd  0.000  0.000  0.500

Properties
The calculated volume is 99.57 Å³/cell. The calculation puts the magnetic moment at 1.6 μB per formula unit.

(B)
NiBiPd3: relaxed, PBE.

Lattice parameters (Å, degrees): 5.033 5.033 5.033 90.00 90.00 90.00
Space group Pm-3m (No. 221)
Unique sites:
Ni  0.000  0.000  0.000
Bi  0.500  0.500  0.500
Pd  0.000  0.500  0.500

Properties
The calculated volume is 127.46 Å³/cell. The calculation puts the magnetic moment at 1.0 μB per formula unit.

Decreasing stability: (A), (B)

(A)
Ni2BiPd2: relaxed, PBE.

Lattice parameters (Å, degrees): 6.654 6.654 3.617 90.00 90.00 90.00
Space group P4/mbm (No. 127)
Unique sites:
Ni  0.129  0.371  0.000
Bi  0.000  0.000  0.000
Pd  0.159  0.659  0.500

Properties
The calculated volume is 160.13 Å³/cell. The calculation puts the magnetic moment at 0.5 μB per formula unit.

(B)
Ni2BiPd2: relaxed, PBE.

Lattice parameters (Å, degrees): 3.516 3.516 13.670 90.00 90.00 90.00
Space group I4/mmm (No. 139)
Unique sites:
Ni  0.000  0.500  0.250
Bi  0.000  0.000  0.000
Pd  0.000  0.000  0.389

Properties
The calculated volume is 168.98 Å³/cell. The calculation puts the magnetic moment at 1.1 μB per formula unit.

(C)
Ni2BiPd2: relaxed, PBE.

Lattice parameters (Å, degrees): 3.801 3.801 11.610 90.00 90.00 90.00
Space group I4/mmm (No. 139)
Unique sites:
Ni  0.000  0.000  0.101
Bi  0.000  0.000  0.500
Pd  0.000  0.500  0.250

Properties
The calculated volume is 167.78 Å³/cell. The calculation puts the magnetic moment at 0.9 μB per formula unit.

Decreasing stability: (A), (B), (C)

(A)
NiBi4Pd: relaxed, PBE.

Lattice parameters (Å, degrees): 8.826 13.093 6.215 90.00 122.10 90.00
Space group C2/c (No. 15)
Unique sites:
Ni  0.000  0.012  0.250
Bi  0.127  0.178  0.591
Bi  0.207  0.443  0.783
Pd  0.000  0.366  0.250

Properties
The calculated volume is 608.43 Å³/cell. The calculation puts the magnetic moment at 0.0 μB per formula unit.

(B)
NiBi4Pd: relaxed, PBE.

Lattice parameters (Å, degrees): 6.526 7.501 7.517 71.20 69.15 69.67
Space group P-1 (No. 2)
Unique sites:
Ni  0.000  0.000  0.000
Ni  0.000  0.500  0.500
Bi  0.170  0.079  0.581
Bi  0.227  0.196  0.058
Bi  0.231  0.560  0.691
Bi  0.276  0.656  0.156
Pd  0.500  0.238  0.259

Properties
The calculated volume is 314.10 Å³/cell. The calculation puts the magnetic moment at 0.0 μB per formula unit.

Decreasing stability: (A), (B)

(A)
NiBiPd: relaxed, PBE.

Lattice parameters (Å, degrees): 5.737 6.525 6.645 109.93 90.62 106.85
Space group P1 (No. 1)
Unique sites:
Ni  0.000  0.000  0.000
Ni  0.138  0.721  0.109
Ni  0.312  0.782  0.470
Ni  0.608  0.584  0.465
Bi  0.458  0.972  0.897
Bi  0.741  0.532  0.826
Bi  0.940  0.380  0.292
Bi  0.979  0.000  0.596
Pd  0.214  0.484  0.695
Pd  0.350  0.152  0.356
Pd  0.356  0.400  0.068
Pd  0.653  0.857  0.226

Properties
The calculated volume is 222.12 Å³/cell. The calculation puts the magnetic moment at 0.0 μB per formula unit.

(B)
NiBiPd: relaxed, PBE.

Lattice parameters (Å, degrees): 3.557 3.557 8.370 90.00 90.00 90.00
Space group I4mm (No. 107)
Unique sites:
Ni  0.000  0.000  0.000
Bi  0.000  0.000  0.671
Pd  0.000  0.000  0.344

Properties
The calculated volume is 105.90 Å³/cell. The calculation puts the magnetic moment at 0.0 μB per formula unit.

Decreasing stability: (A), (B)

(A)
Pr3NiBi: relaxed, PBE.

Lattice parameters (Å, degrees): 5.418 5.418 5.418 90.00 90.00 90.00
Space group Pm-3m (No. 221)
Unique sites:
Pr  0.000  0.000  0.500
Ni  0.000  0.000  0.000
Bi  0.500  0.500  0.500

Properties
The calculated volume is 159.07 Å³/cell. The calculation puts the magnetic moment at 0.0 μB per formula unit.

(B)
Pr3NiBi: relaxed, PBE.

Lattice parameters (Å, degrees): 10.157 14.574 4.293 90.00 90.00 90.00
Space group Cmmm (No. 65)
Unique sites:
Pr  0.000  0.176  0.000
Pr  0.198  0.374  0.500
Ni  0.250  0.250  0.000
Bi  0.000  0.000  0.500
Bi  0.000  0.500  0.000

Properties
The calculated volume is 635.48 Å³/cell. The calculation puts the magnetic moment at 0.0 μB per formula unit.

Decreasing stability: (B), (A)

(A)
NiBi6Pt: relaxed, PBE.

Lattice parameters (Å, degrees): 13.865 9.816 9.820 90.00 134.84 90.00
Space group C2/m (No. 12)
Unique sites:
Ni  0.250  0.250  0.000
Bi  0.007  0.164  0.667
Bi  0.154  0.500  0.309
Bi  0.164  0.160  0.157
Bi  0.165  0.500  0.991
Pt  0.250  0.250  0.500

Properties
The calculated volume is 947.60 Å³/cell. The calculation puts the magnetic moment at 0.0 μB per formula unit.

(B)
NiBi6Pt: relaxed, PBE.

Lattice parameters (Å, degrees): 6.218 10.870 7.337 90.00 114.83 90.00
Space group C2/m (No. 12)
Unique sites:
Ni  0.000  0.000  0.000
Bi  0.003  0.500  0.212
Bi  0.077  0.183  0.260
Pt  0.000  0.000  0.500

Properties
The calculated volume is 450.08 Å³/cell. The calculation puts the magnetic moment at 0.0 μB per formula unit.

Decreasing stability: (A), (B)

(A)
NiBiPt3: relaxed, PBE.

Lattice parameters (Å, degrees): 5.144 5.580 6.650 112.15 99.38 92.48
Space group P-1 (No. 2)
Unique sites:
Ni  0.000  0.000  0.000
Ni  0.500  0.000  0.000
Bi  0.213  0.332  0.795
Pt  0.152  0.756  0.631
Pt  0.314  0.920  0.308
Pt  0.334  0.396  0.281

Properties
The calculated volume is 173.26 Å³/cell. The calculation puts the magnetic moment at 0.3 μB per formula unit.

(B)
NiBiPt3: relaxed, PBE.

Lattice parameters (Å, degrees): 5.057 5.057 5.057 90.00 90.00 90.00
Space group Pm-3m (No. 221)
Unique sites:
Ni  0.000  0.000  0.000
Bi  0.500  0.500  0.500
Pt  0.000  0.500  0.500

Properties
The calculated volume is 129.35 Å³/cell. The calculation puts the magnetic moment at 1.0 μB per formula unit.

(C)
NiBiPt3: relaxed, PBE.

Lattice parameters (Å, degrees): 4.642 4.642 4.642 90.00 90.00 90.00
Space group Pm-3m (No. 221)
Unique sites:
Ni  0.000  0.000  0.000
Bi  0.500  0.500  0.500
Pt  0.000  0.000  0.500

Properties
The calculated volume is 100.00 Å³/cell. The calculation puts the magnetic moment at 1.3 μB per formula unit.

Decreasing stability: (A), (C), (B)

(A)
NiBi3Pt: relaxed, PBE.

Lattice parameters (Å, degrees): 5.393 5.393 5.393 90.00 90.00 90.00
Space group Pm-3m (No. 221)
Unique sites:
Ni  0.000  0.000  0.000
Bi  0.000  0.500  0.500
Pt  0.500  0.500  0.500

Properties
The calculated volume is 156.85 Å³/cell. The calculation puts the magnetic moment at 0.0 μB per formula unit.

(B)
NiBi3Pt: relaxed, PBE.

Lattice parameters (Å, degrees): 5.048 5.048 5.048 90.00 90.00 90.00
Space group Pm-3m (No. 221)
Unique sites:
Ni  0.000  0.000  0.000
Bi  0.000  0.000  0.500
Pt  0.500  0.500  0.500

Properties
The calculated volume is 128.65 Å³/cell. The calculation puts the magnetic moment at 0.0 μB per formula unit.

(C)
NiBi3Pt: relaxed, PBE.

Lattice parameters (Å, degrees): 10.148 7.524 6.553 90.00 90.00 90.00
Space group Ima2 (No. 46)
Unique sites:
Ni  0.250  0.191  0.000
Bi  0.040  0.209  0.267
Bi  0.250  0.590  0.251
Pt  0.250  0.531  0.832

Properties
The calculated volume is 500.40 Å³/cell. The calculation puts the magnetic moment at 0.0 μB per formula unit.

Decreasing stability: (C), (B), (A)

(A)
NiBi4Pt: relaxed, PBE.

Lattice parameters (Å, degrees): 5.509 4.091 7.114 90.00 90.19 90.00
Space group P2/m (No. 10)
Unique sites:
Ni  0.000  0.000  0.000
Bi  0.239  0.500  0.848
Bi  0.254  0.000  0.318
Pt  0.000  0.500  0.500

Properties
The calculated volume is 160.34 Å³/cell. The calculation puts the magnetic moment at 0.0 μB per formula unit.

(B)
NiBi4Pt: relaxed, PBE.

Lattice parameters (Å, degrees): 6.708 6.703 6.706 90.00 90.37 90.00
Space group P2_1/c (No. 14)
Unique sites:
Ni  0.000  0.000  0.000
Bi  0.125  0.138  0.638
Bi  0.359  0.627  0.627
Pt  0.500  0.000  0.500

Properties
The calculated volume is 301.53 Å³/cell. The calculation puts the magnetic moment at 0.0 μB per formula unit.

Decreasing stability: (B), (A)

(A)
RbNi2Bi2: relaxed, PBE.

Lattice parameters (Å, degrees): 8.601 8.601 3.355 90.00 90.00 90.00
Space group P4/mbm (No. 127)
Unique sites:
Rb  0.000  0.000  0.000
Ni  0.107  0.393  0.000
Bi  0.145  0.645  0.500

Properties
The calculated volume is 248.17 Å³/cell. The calculation puts the magnetic moment at 0.0 μB per formula unit.

(B)
RbNi2Bi2: relaxed, PBE.

Lattice parameters (Å, degrees): 4.894 4.894 12.161 90.00 90.00 90.00
Space group I4/mmm (No. 139)
Unique sites:
Rb  0.000  0.000  0.000
Ni  0.000  0.000  0.337
Bi  0.000  0.500  0.250

Properties
The calculated volume is 291.21 Å³/cell. The calculation puts the magnetic moment at 0.0 μB per formula unit.

Decreasing stability: (B), (A)

(A)
ReNiBi2: relaxed, PBE.

Lattice parameters (Å, degrees): 6.822 6.822 6.822 90.00 90.00 90.00
Space group Fm-3m (No. 225)
Unique sites:
Re  0.000  0.000  0.000
Ni  0.000  0.000  0.500
Bi  0.250  0.250  0.250

Properties
The calculated volume is 317.44 Å³/cell. The calculation puts the magnetic moment at 0.0 μB per formula unit.

(B)
ReNiBi2: relaxed, PBE.

Lattice parameters (Å, degrees): 6.037 6.037 12.268 90.00 90.00 90.00
Space group I-42d (No. 122)
Unique sites:
Re  0.000  0.000  0.000
Ni  0.000  0.000  0.500
Bi  0.236  0.250  0.625

Properties
The calculated volume is 447.14 Å³/cell. The calculation puts the magnetic moment at 0.0 μB per formula unit.

Decreasing stability: (A), (B)